## w
# Si4Ru

A relaxed Si4Ru crystal (PBE, Alexandria).

a b c (Å): 7.7373 7.7373 7.7373
angles (deg): 156.17 156.17 33.95
Last column: nearest neighbours and their distance in Å.
Atoms (fractional coordinates):
Ru  0.0000  0.0000  0.0000  8 Si 2.64
Si  0.7500  0.2500  0.5000  4 Si 2.26
Si  0.5924  0.5924  0.0000  4 Ru 2.64, 5 Si 2.74-2.83
Si  0.4076  0.4076  0.0000  4 Ru 2.64, 5 Si 2.74-2.83
Si  0.2500  0.7500  0.5000  4 Si 2.26

## Properties
DOS at the Fermi energy = 2.04 states/eV/cell
Crystal system = tetragonal
Symmetry = I4/mmm, No. 139

---

## x
# Si4Ru

A relaxed Si4Ru crystal (PBE, Alexandria).

a b c (Å): 4.7734 4.7734 4.7734
angles (deg): 109.47 109.47 109.47
Last column: nearest neighbours and their distance in Å.
Atoms (fractional coordinates):
Si  0.5000  0.0000  0.0000  2 Ru 2.39
Si  0.0000  0.5000  0.0000  2 Ru 2.39
Si  0.5000  0.5000  0.5000  2 Ru 2.39
Si  0.0000  0.0000  0.5000  2 Ru 2.39
Ru  0.0000  0.0000  0.0000  8 Si 2.39

## Properties
DOS at the Fermi energy = 2.12 states/eV/cell
Crystal system = cubic
Symmetry = Im-3m, No. 229

---

## y
# Si4Ru

A relaxed Si4Ru crystal (PBE, Alexandria).

a b c (Å): 4.5909 4.5909 4.5909
angles (deg): 90.00 90.00 90.00
Last column: nearest neighbours and their distance in Å.
Atoms (fractional coordinates):
Si  0.5000  0.5000  0.0000  2 Ru 2.30
Ru  0.5000  0.5000  0.5000  6 Si 2.30
Si  0.0000  0.0000  0.0000  12 Si 3.25
Si  0.5000  0.0000  0.5000  2 Ru 2.30
Si  0.0000  0.5000  0.5000  2 Ru 2.30

## Properties
DOS at the Fermi energy = 4.88 states/eV/cell
Crystal system = cubic
Symmetry = Pm-3m, No. 221

---

Quick one: most stable of them? x

---

## w
# SiRu4

A relaxed SiRu4 crystal (PBE, Alexandria).

a b c (Å): 4.3150 4.3150 4.3150
angles (deg): 90.00 90.00 90.00
Last column: nearest neighbours and their distance in Å.
Atoms (fractional coordinates):
Si  0.5000  0.5000  0.5000  6 Ru 2.16
Ru  0.5000  0.5000  0.0000  2 Si 2.16
Ru  0.5000  0.0000  0.5000  2 Si 2.16
Ru  0.0000  0.5000  0.5000  2 Si 2.16
Ru  0.0000  0.0000  0.0000  12 Ru 3.05

## Properties
DOS at the Fermi energy = 8.18 states/eV/cell
Crystal system = cubic
Symmetry = Pm-3m, No. 221

---

## x
# SiRu4

A relaxed SiRu4 crystal (PBE, Alexandria).

a b c (Å): 4.6417 4.6417 4.6417
angles (deg): 99.70 99.70 131.52
Last column: nearest neighbours and their distance in Å.
Atoms (fractional coordinates):
Ru  0.1950  0.6036  0.7985  9 Ru 2.64-2.73, 3 Si 2.64-2.71
Si  0.0000  0.0000  0.0000  12 Ru 2.64-2.71
Ru  0.8050  0.3964  0.2015  9 Ru 2.64-2.73, 3 Si 2.64-2.71
Ru  0.6036  0.8050  0.4086  9 Ru 2.64-2.73, 3 Si 2.64-2.71
Ru  0.3964  0.1950  0.5914  9 Ru 2.64-2.73, 3 Si 2.64-2.71

## Properties
DOS at the Fermi energy = 6.35 states/eV/cell
Crystal system = tetragonal
Symmetry = I4/m, No. 87

---

## y
# SiRu4

A relaxed SiRu4 crystal (PBE, Alexandria).

a b c (Å): 4.7217 4.7217 4.7217
angles (deg): 109.47 109.47 109.47
Last column: nearest neighbours and their distance in Å.
Atoms (fractional coordinates):
Ru  0.5000  0.5000  0.5000  2 Si 2.36
Ru  0.0000  0.5000  0.0000  2 Si 2.36
Ru  0.5000  0.0000  0.0000  2 Si 2.36
Ru  0.0000  0.0000  0.5000  2 Si 2.36
Si  0.0000  0.0000  0.0000  8 Ru 2.36

## Properties
DOS at the Fermi energy = 9.07 states/eV/cell
Crystal system = cubic
Symmetry = Im-3m, No. 229

---

Quick one: most stable of them? x

---

## w
# Si4Ru3

A relaxed Si4Ru3 crystal (PBE, Alexandria).

a b c (Å): 5.2730 5.2730 4.1979
angles (deg): 90.00 90.00 120.00
Last column: nearest neighbours and their distance in Å.
Atoms (fractional coordinates):
Si  0.0000  0.0000  0.7546  2 Si 2.06-2.14
Ru  0.5000  0.5000  0.0000  8 Si 2.59-2.83, 4 Ru 2.64
Si  0.0000  0.0000  0.2454  2 Si 2.06-2.14
Si  0.3333  0.6667  0.5000  6 Ru 2.59
Ru  0.5000  0.0000  0.0000  8 Si 2.59-2.83, 4 Ru 2.64
Si  0.6667  0.3333  0.5000  6 Ru 2.59
Ru  0.0000  0.5000  0.0000  8 Si 2.59-2.83, 4 Ru 2.64

## Properties
DOS at the Fermi energy = 8.36 states/eV/cell
Crystal system = hexagonal
Symmetry = P6/mmm, No. 191

---

## x
# Si4Ru3

A relaxed Si4Ru3 crystal (PBE, Alexandria).

a b c (Å): 9.7166 9.7166 9.7166
angles (deg): 161.34 161.34 26.52
Last column: nearest neighbours and their distance in Å.
Atoms (fractional coordinates):
Si  0.4314  0.4314  0.0000  5 Ru 2.38-2.58, 5 Si 2.59-2.66
Ru  0.0000  0.0000  0.0000  10 Si 2.58-2.75
Ru  0.3056  0.3056  0.0000  5 Si 2.38-2.41
Si  0.1456  0.1456  0.0000  4 Ru 2.41, 4 Si 2.66
Si  0.5686  0.5686  0.0000  5 Ru 2.38-2.58, 5 Si 2.59-2.66
Ru  0.6944  0.6944  0.0000  5 Si 2.38-2.41
Si  0.8544  0.8544  0.0000  4 Ru 2.41, 4 Si 2.66

## Properties
DOS at the Fermi energy = 4.82 states/eV/cell
Crystal system = tetragonal
Symmetry = I4/mmm, No. 139

---

Quick one: most stable of them? x

---

## w
# TaSiRu3

A relaxed TaSiRu3 crystal (PBE, Alexandria).

a b c (Å): 4.3189 4.3189 4.3189
angles (deg): 90.00 90.00 90.00
Last column: nearest neighbours and their distance in Å.
Atoms (fractional coordinates):
Si  0.0000  0.0000  0.0000  6 Ru 2.16
Ta  0.5000  0.5000  0.5000  12 Ru 3.05
Ru  0.5000  0.0000  0.0000  2 Si 2.16
Ru  0.0000  0.0000  0.5000  2 Si 2.16
Ru  0.0000  0.5000  0.0000  2 Si 2.16

## Properties
DOS at the Fermi energy = 3.50 states/eV/cell
Crystal system = cubic
Symmetry = Pm-3m, No. 221

---

## x
# TaSiRu3

A relaxed TaSiRu3 crystal (PBE, Alexandria).

a b c (Å): 4.6890 4.6890 4.6890
angles (deg): 90.00 90.00 90.00
Last column: nearest neighbours and their distance in Å.
Atoms (fractional coordinates):
Si  0.5000  0.5000  0.5000  12 Ru 3.32
Ru  0.5000  0.0000  0.0000  2 Ta 2.34
Ru  0.0000  0.5000  0.0000  2 Ta 2.34
Ta  0.0000  0.0000  0.0000  6 Ru 2.34
Ru  0.0000  0.0000  0.5000  2 Ta 2.34

## Properties
DOS at the Fermi energy = 7.63 states/eV/cell
Crystal system = cubic
Symmetry = Pm-3m, No. 221

---

Quick one: most stable of them? w

---

## w
# TbSi2Ru4

A relaxed TbSi2Ru4 crystal (PBE, Alexandria).

a b c (Å): 3.8730 7.5171 7.5171
angles (deg): 90.00 90.00 90.00
Last column: nearest neighbours and their distance in Å.
Atoms (fractional coordinates):
Ru  0.0000  0.6595  0.9210  3 Si 2.41-2.50, 1 Ru 2.68
Ru  0.5000  0.5790  0.1595  3 Si 2.41-2.50, 1 Ru 2.68
Si  0.0000  0.7821  0.2179  6 Ru 2.41-2.50
Ru  0.0000  0.9210  0.6595  3 Si 2.41-2.50, 1 Ru 2.68
Ru  0.5000  0.1595  0.5790  3 Si 2.41-2.50, 1 Ru 2.68
Tb  0.5000  0.0000  0.0000  6 Si 3.00-3.02, 8 Ru 3.26
Tb  0.0000  0.5000  0.5000  6 Si 3.00-3.02, 8 Ru 3.26
Si  0.0000  0.2179  0.7821  6 Ru 2.41-2.50
Si  0.5000  0.2821  0.2821  6 Ru 2.41-2.50
Ru  0.5000  0.4210  0.8405  3 Si 2.41-2.50, 1 Ru 2.68
Ru  0.5000  0.8405  0.4210  3 Si 2.41-2.50, 1 Ru 2.68
Ru  0.0000  0.3405  0.0790  3 Si 2.41-2.50, 1 Ru 2.68
Si  0.5000  0.7179  0.7179  6 Ru 2.41-2.50
Ru  0.0000  0.0790  0.3405  3 Si 2.41-2.50, 1 Ru 2.68

## Properties
DOS at the Fermi energy = 11.33 states/eV/cell
Crystal system = tetragonal
Symmetry = P4_2/mnm, No. 136

---

## x
# TbSi2Ru4

A relaxed TbSi2Ru4 crystal (PBE, Alexandria).

a b c (Å): 2.8513 4.1665 9.8163
angles (deg): 102.25 98.34 90.00
Last column: nearest neighbours and their distance in Å.
Atoms (fractional coordinates):
Ru  0.8544  0.8540  0.7081  4 Si 2.58, 6 Ru 2.65-2.85, 1 Tb 2.77
Tb  0.0000  0.0000  0.0000  2 Ru 2.77, 2 Tb 2.85
Ru  0.1456  0.1460  0.2919  4 Si 2.58, 6 Ru 2.65-2.85, 1 Tb 2.77
Si  0.6173  0.6174  0.2349  6 Ru 2.58-2.61, 2 Si 2.85
Si  0.3827  0.3826  0.7651  6 Ru 2.58-2.61, 2 Si 2.85
Ru  0.7673  0.2674  0.5348  2 Si 2.61, 10 Ru 2.61-2.85
Ru  0.2327  0.7326  0.4652  2 Si 2.61, 10 Ru 2.61-2.85

## Properties
DOS at the Fermi energy = 4.36 states/eV/cell
Crystal system = orthorhombic
Symmetry = Immm, No. 71

---

Quick one: most stable of them? w

---

## w
# SiTe2Ru2

A relaxed SiTe2Ru2 crystal (PBE, Alexandria).

a b c (Å): 7.6922 7.6922 3.1789
angles (deg): 90.00 90.00 90.00
Last column: nearest neighbours and their distance in Å.
Atoms (fractional coordinates):
Si  0.0000  0.0000  0.0000  4 Ru 2.99, 2 Si 3.18, 8 Te 3.31
Te  0.1554  0.6554  0.5000  6 Ru 2.75-2.78
Ru  0.3647  0.8647  0.0000  6 Te 2.75-2.78, 1 Ru 2.94, 2 Si 2.99
Ru  0.6353  0.1353  0.0000  6 Te 2.75-2.78, 1 Ru 2.94, 2 Si 2.99
Ru  0.1353  0.3647  0.0000  6 Te 2.75-2.78, 1 Ru 2.94, 2 Si 2.99
Te  0.8446  0.3446  0.5000  6 Ru 2.75-2.78
Si  0.5000  0.5000  0.0000  4 Ru 2.99, 2 Si 3.18, 8 Te 3.31
Te  0.6554  0.8446  0.5000  6 Ru 2.75-2.78
Te  0.3446  0.1554  0.5000  6 Ru 2.75-2.78
Ru  0.8647  0.6353  0.0000  6 Te 2.75-2.78, 1 Ru 2.94, 2 Si 2.99

## Properties
DOS at the Fermi energy = 11.61 states/eV/cell
Crystal system = tetragonal
Symmetry = P4/mbm, No. 127

---

## x
# SiTe2Ru2

A relaxed SiTe2Ru2 crystal (PBE, Alexandria).

a b c (Å): 5.4098 5.4098 5.2146
angles (deg): 58.75 58.75 90.00
Last column: nearest neighbours and their distance in Å.
Atoms (fractional coordinates):
Te  0.7500  0.2500  0.5000  4 Ru 2.74
Ru  0.3154  0.3154  0.3692  1 Si 2.24
Ru  0.6846  0.6846  0.6308  1 Si 2.24
Te  0.2500  0.7500  0.5000  4 Ru 2.74
Si  0.0000  0.0000  0.0000  2 Ru 2.24

## Properties
DOS at the Fermi energy = 1.62 states/eV/cell
Crystal system = tetragonal
Symmetry = I4/mmm, No. 139

---

Quick one: most stable of them? x

---

## w
# Th2Si3Ru

A relaxed Th2Si3Ru crystal (PBE, Alexandria).

a b c (Å): 7.7814 7.7814 7.7814
angles (deg): 149.79 148.47 44.23
Last column: nearest neighbours and their distance in Å.
Atoms (fractional coordinates):
Th  0.9977  0.9977  0.0000  2 Ru 3.12, 10 Si 3.15-3.26
Si  0.4167  0.4167  0.0000  1 Si 2.37, 2 Ru 2.43
Th  0.2513  0.7513  0.5000  8 Si 3.13-3.24, 4 Ru 3.16
Si  0.6694  0.1694  0.5000  1 Ru 2.37, 2 Si 2.39
Si  0.5813  0.5813  0.0000  3 Si 2.37-2.39
Ru  0.8337  0.3337  0.5000  3 Si 2.37-2.43

## Properties
DOS at the Fermi energy = 3.60 states/eV/cell
Crystal system = orthorhombic
Symmetry = Imm2, No. 44

---

## x
# Th2Si3Ru

A relaxed Th2Si3Ru crystal (PBE, Alexandria).

a b c (Å): 5.8892 5.8892 8.2577
angles (deg): 110.95 110.95 89.84
Last column: nearest neighbours and their distance in Å.
Atoms (fractional coordinates):
Th  0.7446  0.7446  0.0000  2 Ru 3.13, 10 Si 3.16-3.19
Si  0.8364  0.3307  0.1672  2 Si 2.37-2.38, 1 Ru 2.41
Ru  0.6662  0.6662  0.3323  3 Si 2.38-2.41
Si  0.1636  0.6693  0.8328  2 Si 2.37-2.38, 1 Ru 2.41
Si  0.8331  0.8331  0.6662  2 Si 2.37, 1 Ru 2.38
Th  0.2500  0.7500  0.5000  8 Si 3.16-3.17, 4 Ru 3.18
Si  0.1669  0.1669  0.3338  2 Si 2.37, 1 Ru 2.38
Si  0.3307  0.8364  0.1672  2 Si 2.37-2.38, 1 Ru 2.41
Th  0.7500  0.2500  0.5000  8 Si 3.16-3.17, 4 Ru 3.18
Si  0.6693  0.1636  0.8328  2 Si 2.37-2.38, 1 Ru 2.41
Th  0.2554  0.2554  0.0000  2 Ru 3.13, 10 Si 3.16-3.19
Ru  0.3338  0.3338  0.6677  3 Si 2.38-2.41

## Properties
DOS at the Fermi energy = 6.48 states/eV/cell
Crystal system = orthorhombic
Symmetry = Fmmm, No. 69

---

Quick one: most stable of them? x

---

## w
# TiSi3Ru

A relaxed TiSi3Ru crystal (PBE, Alexandria).

a b c (Å): 4.6262 4.6262 4.6262
angles (deg): 90.00 90.00 90.00
Last column: nearest neighbours and their distance in Å.
Atoms (fractional coordinates):
Ti  0.0000  0.0000  0.0000  6 Si 2.31
Si  0.5000  0.0000  0.0000  2 Ti 2.31
Si  0.0000  0.5000  0.0000  2 Ti 2.31
Si  0.0000  0.0000  0.5000  2 Ti 2.31
Ru  0.5000  0.5000  0.5000  12 Si 3.27

## Properties
DOS at the Fermi energy = 4.18 states/eV/cell
Crystal system = cubic
Symmetry = Pm-3m, No. 221

---

## x
# TiSi3Ru

A relaxed TiSi3Ru crystal (PBE, Alexandria).

a b c (Å): 4.5590 4.5590 4.5590
angles (deg): 90.00 90.00 90.00
Last column: nearest neighbours and their distance in Å.
Atoms (fractional coordinates):
Ru  0.0000  0.0000  0.0000  6 Si 2.28
Si  0.0000  0.5000  0.0000  2 Ru 2.28
Si  0.0000  0.0000  0.5000  2 Ru 2.28
Si  0.5000  0.0000  0.0000  2 Ru 2.28
Ti  0.5000  0.5000  0.5000  12 Si 3.22

## Properties
DOS at the Fermi energy = 12.67 states/eV/cell
Crystal system = cubic
Symmetry = Pm-3m, No. 221

---

Quick one: most stable of them? x